Entry 1:
# Pr12Tl6Pt

An optimized crystal structure of Pr12Tl6Pt (PBE, Alexandria).

The density of states at the Fermi level comes out at 67.59 states/eV per cell. Its formation energy is -0.2489 eV/atom. The crystal system is trigonal.

The structure belongs to space group R-3 (No. 148, hexagonal axes); the cell edges are 12.6086, 12.6086 and 13.9649 Å and the angles 90.00°, 90.00° and 120.00°. The distinct sites, in fractional coordinates, are Pr at (0.0379, 0.8449, 0.3693), Pr at (0.0396, 0.1938, 0.8919), Tl at (0.0043, 0.4022, 0.7634) and Pt at (0.0000, 0.0000, 0.5000).


Entry 2:
# Pr5Tl2Pt

An optimized crystal structure of Pr5Tl2Pt (PBE, Alexandria).

The density of states at the Fermi level comes out at 17.22 states/eV per cell. Its formation energy is -0.4959 eV/atom. The crystal system is orthorhombic. The value obtained for the relative energy among the computed polymorphs is 0 meV/atom.

The structure belongs to space group Pbam (No. 55); the cell edges are 7.977, 12.844 and 4.905 Å and the angles 90.00°, 90.00° and 90.00°. The distinct sites, in fractional coordinates, are Pr at (0.000, 0.000, 0.000), Pr at (0.138, 0.291, 0.000), Pr at (0.182, 0.573, 0.500), Tl at (0.080, 0.833, 0.500) and Pt at (0.000, 0.500, 0.000).


Entry 3:
# Pr8TlPt2

An optimized crystal structure of Pr8TlPt2 (PBE, Alexandria).

The density of states at the Fermi level comes out at 26.53 states/eV per cell. Its formation energy is -0.4105 eV/atom. The crystal system is monoclinic.

The structure belongs to space group C2/m (No. 12); the cell edges are 8.954, 14.091 and 5.779 Å and the angles 90.00°, 105.23° and 90.00°. The distinct sites, in fractional coordinates, are Pr at (0.000, 0.246, 0.000), Pr at (0.105, 0.500, 0.808), Pr at (0.205, 0.124, 0.568), Tl at (0.000, 0.000, 0.000) and Pt at (0.000, 0.300, 0.500).


Entry 4:
# PrTlPt4

An optimized crystal structure of PrTlPt4 (PBE, Alexandria).

The density of states at the Fermi level comes out at 7.58 states/eV per cell. Its formation energy is -0.7308 eV/atom. The crystal system is cubic.

The structure belongs to space group F-43m (No. 216); the cell edges are 7.764, 7.764 and 7.764 Å and the angles 90.00°, 90.00° and 90.00°. The distinct sites, in fractional coordinates, are Pr at (0.000, 0.000, 0.000), Tl at (0.250, 0.250, 0.250) and Pt at (0.124, 0.124, 0.624).


Entry 5:
# Pr6Tl2Pt

An optimized crystal structure of Pr6Tl2Pt (PBE, Alexandria).

The density of states at the Fermi level comes out at 25.81 states/eV per cell. Its formation energy is -0.3786 eV/atom. The crystal system is orthorhombic. The value obtained for the relative energy among the computed polymorphs is 69 meV/atom.

The structure belongs to space group Pnnm (No. 58); the cell edges are 10.376, 10.385 and 5.223 Å and the angles 90.00°, 90.00° and 90.00°. The distinct sites, in fractional coordinates, are Pr at (0.024, 0.192, 0.000), Pr at (0.112, 0.612, 0.500), Pr at (0.193, 0.976, 0.500), Tl at (0.209, 0.290, 0.500) and Pt at (0.000, 0.500, 0.000).


Entry 6:
# PrTl2Pt9

An optimized crystal structure of PrTl2Pt9 (PBE, Alexandria).

The density of states at the Fermi level comes out at 20.85 states/eV per cell. Its formation energy is -0.3983 eV/atom. The crystal system is trigonal.

The structure belongs to space group R-3m (No. 166, hexagonal axes); the cell edges are 5.4818, 5.4818 and 26.2876 Å and the angles 90.00°, 90.00° and 120.00°. The distinct sites, in fractional coordinates, are Pr at (0.0000, 0.0000, 0.0000), Tl at (0.0000, 0.0000, 0.1414), Pt at (0.0000, 0.0000, 0.3333), Pt at (0.0000, 0.0000, 0.5000) and Pt at (0.0032, 0.5016, 0.9162).